1.
Li22Pb5: optimized geometry, GGA-PBEsol.

Calculated values
- Energy relative to the elements: -0.293 eV/atom
- Calculated total energy: -2.636 eV per atom

Cell: 13.9809 13.9809 13.9809 Å, 60.00 60.00 60.00°
With the nearest neighbours (Å) after each atom.
Sites, in units of the cell vectors:
1 Li 0.0000 0.0000 0.0000  4 Li 2.59, 4 Pb 2.86
2 Li 0.0039 0.0039 0.3242  6 Li 2.81-2.92, 3 Pb 2.84-3.12
3 Li 0.0039 0.0039 0.6680  6 Li 2.81-2.92, 3 Pb 2.84-3.12
4 Li 0.0039 0.3242 0.0039  6 Li 2.81-2.92, 3 Pb 2.84-3.12
5 Li 0.0039 0.3242 0.6680  6 Li 2.81-2.92, 3 Pb 2.84-3.12
6 Li 0.0039 0.6680 0.0039  6 Li 2.81-2.92, 3 Pb 2.84-3.12
7 Li 0.0039 0.6680 0.3242  6 Li 2.81-2.92, 3 Pb 2.84-3.12
8 Li 0.0299 0.3234 0.3234  4 Li 2.51-2.78
9 Li 0.0652 0.4204 0.7572  7 Li 2.67-2.88, 1 Pb 2.97
10 Li 0.0652 0.7572 0.4204  7 Li 2.67-2.88, 1 Pb 2.97
11 Li 0.0652 0.7572 0.7572  7 Li 2.67-2.88, 1 Pb 2.97
12 Li 0.0757 0.0757 0.0757  7 Li 2.59-2.85
13 Li 0.0757 0.0757 0.7728  7 Li 2.59-2.85
14 Li 0.0757 0.7728 0.0757  7 Li 2.59-2.85
15 Li 0.0778 0.0778 0.4222  6 Li 2.81-3.04, 3 Pb 2.97-3.01
16 Li 0.0778 0.4222 0.0778  6 Li 2.81-3.04, 3 Pb 2.97-3.01
17 Li 0.0778 0.4222 0.4222  6 Li 2.81-3.04, 3 Pb 2.97-3.01
18 Li 0.1702 0.1702 0.8298  6 Li 2.82-3.03, 3 Pb 2.90-3.06
19 Li 0.1702 0.8298 0.1702  6 Li 2.82-3.03, 3 Pb 2.90-3.06
20 Li 0.1702 0.8298 0.8298  6 Li 2.82-3.03, 3 Pb 2.90-3.06
21 Li 0.1741 0.5070 0.5070  6 Li 2.70-2.88, 1 Pb 2.86
22 Li 0.1741 0.5070 0.8120  6 Li 2.70-2.88, 1 Pb 2.86
23 Li 0.1741 0.8120 0.5070  6 Li 2.70-2.88, 1 Pb 2.86
24 Li 0.2500 0.2500 0.2500  4 Li 2.51
25 Li 0.2585 0.2585 0.5648  6 Li 2.78-3.03, 2 Pb 2.80
26 Li 0.2585 0.2585 0.9182  6 Li 2.78-3.03, 2 Pb 2.80
27 Li 0.2585 0.5648 0.2585  6 Li 2.78-3.03, 2 Pb 2.80
28 Li 0.2585 0.5648 0.9182  6 Li 2.78-3.03, 2 Pb 2.80
29 Li 0.2585 0.9182 0.2585  6 Li 2.78-3.03, 2 Pb 2.80
30 Li 0.2585 0.9182 0.5648  6 Li 2.78-3.03, 2 Pb 2.80
31 Li 0.2720 0.5760 0.5760  4 Li 2.60-2.70, 3 Pb 2.89
32 Li 0.3234 0.0299 0.3234  4 Li 2.51-2.78
33 Li 0.3234 0.3234 0.0299  4 Li 2.51-2.78
34 Li 0.3234 0.3234 0.3234  4 Li 2.51-2.78
35 Li 0.3242 0.0039 0.0039  6 Li 2.81-2.92, 3 Pb 2.84-3.12
36 Li 0.3242 0.0039 0.6680  6 Li 2.81-2.92, 3 Pb 2.84-3.12
37 Li 0.3242 0.6680 0.0039  6 Li 2.81-2.92, 3 Pb 2.84-3.12
38 Li 0.4168 0.4168 0.4168  4 Li 2.78-2.85, 3 Pb 2.95
39 Li 0.4168 0.4168 0.7497  4 Li 2.78-2.85, 3 Pb 2.95
40 Li 0.4168 0.7497 0.4168  4 Li 2.78-2.85, 3 Pb 2.95
41 Li 0.4204 0.0652 0.7572  7 Li 2.67-2.88, 1 Pb 2.97
42 Li 0.4204 0.7572 0.0652  7 Li 2.67-2.88, 1 Pb 2.97
43 Li 0.4204 0.7572 0.7572  7 Li 2.67-2.88, 1 Pb 2.97
44 Li 0.4222 0.0778 0.0778  6 Li 2.81-3.04, 3 Pb 2.97-3.01
45 Li 0.4222 0.0778 0.4222  6 Li 2.81-3.04, 3 Pb 2.97-3.01
46 Li 0.4222 0.4222 0.0778  6 Li 2.81-3.04, 3 Pb 2.97-3.01
47 Li 0.5000 0.5000 0.5000  8 Li 2.60-2.85
48 Li 0.5055 0.8315 0.8315  4 Li 2.67-2.79, 4 Pb 2.91-2.94
49 Li 0.5070 0.1741 0.5070  6 Li 2.70-2.88, 1 Pb 2.86
50 Li 0.5070 0.1741 0.8120  6 Li 2.70-2.88, 1 Pb 2.86
51 Li 0.5070 0.5070 0.1741  6 Li 2.70-2.88, 1 Pb 2.86
52 Li 0.5070 0.5070 0.8120  6 Li 2.70-2.88, 1 Pb 2.86
53 Li 0.5070 0.8120 0.1741  6 Li 2.70-2.88, 1 Pb 2.86
54 Li 0.5070 0.8120 0.5070  6 Li 2.70-2.88, 1 Pb 2.86
55 Li 0.5648 0.2585 0.2585  6 Li 2.78-3.03, 2 Pb 2.80
56 Li 0.5648 0.2585 0.9182  6 Li 2.78-3.03, 2 Pb 2.80
57 Li 0.5648 0.9182 0.2585  6 Li 2.78-3.03, 2 Pb 2.80
58 Li 0.5760 0.2720 0.5760  4 Li 2.60-2.70, 3 Pb 2.89
59 Li 0.5760 0.5760 0.2720  4 Li 2.60-2.70, 3 Pb 2.89
60 Li 0.5760 0.5760 0.5760  4 Li 2.60-2.70, 3 Pb 2.89
61 Li 0.6680 0.0039 0.0039  6 Li 2.81-2.92, 3 Pb 2.84-3.12
62 Li 0.6680 0.0039 0.3242  6 Li 2.81-2.92, 3 Pb 2.84-3.12
63 Li 0.6680 0.3242 0.0039  6 Li 2.81-2.92, 3 Pb 2.84-3.12
64 Li 0.6709 0.6709 0.6709  4 Li 2.71-2.86, 3 Pb 2.92
65 Li 0.6709 0.6709 0.9874  4 Li 2.71-2.86, 3 Pb 2.92
66 Li 0.6709 0.9874 0.6709  4 Li 2.71-2.86, 3 Pb 2.92
67 Li 0.7497 0.4168 0.4168  4 Li 2.78-2.85, 3 Pb 2.95
68 Li 0.7500 0.7500 0.7500  8 Li 2.71-2.79
69 Li 0.7572 0.0652 0.4204  7 Li 2.67-2.88, 1 Pb 2.97
70 Li 0.7572 0.0652 0.7572  7 Li 2.67-2.88, 1 Pb 2.97
71 Li 0.7572 0.4204 0.0652  7 Li 2.67-2.88, 1 Pb 2.97
72 Li 0.7572 0.4204 0.7572  7 Li 2.67-2.88, 1 Pb 2.97
73 Li 0.7572 0.7572 0.0652  7 Li 2.67-2.88, 1 Pb 2.97
74 Li 0.7572 0.7572 0.4204  7 Li 2.67-2.88, 1 Pb 2.97
75 Li 0.7728 0.0757 0.0757  7 Li 2.59-2.85
76 Li 0.8120 0.1741 0.5070  6 Li 2.70-2.88, 1 Pb 2.86
77 Li 0.8120 0.5070 0.1741  6 Li 2.70-2.88, 1 Pb 2.86
78 Li 0.8120 0.5070 0.5070  6 Li 2.70-2.88, 1 Pb 2.86
79 Li 0.8298 0.1702 0.1702  6 Li 2.82-3.03, 3 Pb 2.90-3.06
80 Li 0.8298 0.1702 0.8298  6 Li 2.82-3.03, 3 Pb 2.90-3.06
81 Li 0.8298 0.8298 0.1702  6 Li 2.82-3.03, 3 Pb 2.90-3.06
82 Li 0.8315 0.5055 0.8315  4 Li 2.67-2.79, 4 Pb 2.91-2.94
83 Li 0.8315 0.8315 0.5055  4 Li 2.67-2.79, 4 Pb 2.91-2.94
84 Li 0.8315 0.8315 0.8315  4 Li 2.67-2.79, 4 Pb 2.91-2.94
85 Li 0.9182 0.2585 0.2585  6 Li 2.78-3.03, 2 Pb 2.80
86 Li 0.9182 0.2585 0.5648  6 Li 2.78-3.03, 2 Pb 2.80
87 Li 0.9182 0.5648 0.2585  6 Li 2.78-3.03, 2 Pb 2.80
88 Li 0.9874 0.6709 0.6709  4 Li 2.71-2.86, 3 Pb 2.92
89 Pb 0.1617 0.1617 0.1617  11 Li 2.80-3.12
90 Pb 0.1617 0.1617 0.5149  11 Li 2.80-3.12
91 Pb 0.1617 0.5149 0.1617  11 Li 2.80-3.12
92 Pb 0.2508 0.9164 0.9164  14 Li 2.84-3.16
93 Pb 0.3248 0.3248 0.6752  9 Li 2.80-3.06
94 Pb 0.3248 0.6752 0.3248  9 Li 2.80-3.06
95 Pb 0.3248 0.6752 0.6752  9 Li 2.80-3.06
96 Pb 0.5149 0.1617 0.1617  11 Li 2.80-3.12
97 Pb 0.5743 0.5743 0.9257  9 Li 2.86-3.01
98 Pb 0.5743 0.9257 0.5743  9 Li 2.86-3.01
99 Pb 0.5743 0.9257 0.9257  9 Li 2.86-3.01
100 Pb 0.6752 0.3248 0.3248  9 Li 2.80-3.06
101 Pb 0.6752 0.3248 0.6752  9 Li 2.80-3.06
102 Pb 0.6752 0.6752 0.3248  9 Li 2.80-3.06
103 Pb 0.9164 0.2508 0.9164  14 Li 2.84-3.16
104 Pb 0.9164 0.9164 0.2508  14 Li 2.84-3.16
105 Pb 0.9164 0.9164 0.9164  14 Li 2.84-3.16
106 Pb 0.9257 0.5743 0.5743  9 Li 2.86-3.01
107 Pb 0.9257 0.5743 0.9257  9 Li 2.86-3.01
108 Pb 0.9257 0.9257 0.5743  9 Li 2.86-3.01



2.
Li3Pb: optimized geometry, GGA-PBEsol.

Calculated values
- Energy relative to the elements: -0.346 eV/atom
- Calculated total energy: -2.820 eV per atom
- E above lowest polymorph: 0.000 eV per atom

Cell: 6.6039 6.6039 6.6039 Å, 90.00 90.00 90.00°
With the nearest neighbours (Å) after each atom.
Sites, in units of the cell vectors:
1 Li 0.0000 0.0000 0.0000  8 Li 2.86
2 Li 0.0000 0.5000 0.5000  8 Li 2.86
3 Li 0.2500 0.2500 0.2500  4 Pb 2.86, 4 Li 2.86
4 Li 0.2500 0.2500 0.7500  4 Pb 2.86, 4 Li 2.86
5 Li 0.2500 0.7500 0.2500  4 Pb 2.86, 4 Li 2.86
6 Li 0.2500 0.7500 0.7500  4 Pb 2.86, 4 Li 2.86
7 Li 0.5000 0.0000 0.5000  8 Li 2.86
8 Li 0.5000 0.5000 0.0000  8 Li 2.86
9 Li 0.7500 0.2500 0.2500  4 Pb 2.86, 4 Li 2.86
10 Li 0.7500 0.2500 0.7500  4 Pb 2.86, 4 Li 2.86
11 Li 0.7500 0.7500 0.2500  4 Pb 2.86, 4 Li 2.86
12 Li 0.7500 0.7500 0.7500  4 Li 2.86, 4 Pb 2.86
13 Pb 0.0000 0.0000 0.5000  8 Li 2.86
14 Pb 0.0000 0.5000 0.0000  8 Li 2.86
15 Pb 0.5000 0.0000 0.0000  8 Li 2.86
16 Pb 0.5000 0.5000 0.5000  8 Li 2.86



3.
LiPb7: optimized geometry, GGA-PBEsol.

Calculated values
- Energy relative to the elements: -0.062 eV/atom
- Calculated total energy: -3.807 eV per atom

Cell: 6.8888 6.8888 6.8888 Å, 60.00 60.00 60.00°
With the nearest neighbours (Å) after each atom.
Sites, in units of the cell vectors:
1 Li 0.0000 0.0000 0.0000  12 Pb 3.44
2 Pb 0.0000 0.0000 0.5000  10 Pb 3.44, 2 Li 3.44
3 Pb 0.0000 0.5000 0.0000  10 Pb 3.44, 2 Li 3.44
4 Pb 0.0000 0.5000 0.5000  10 Pb 3.44, 2 Li 3.44
5 Pb 0.5000 0.0000 0.0000  10 Pb 3.44, 2 Li 3.44
6 Pb 0.5000 0.0000 0.5000  10 Pb 3.44, 2 Li 3.44
7 Pb 0.5000 0.5000 0.0000  10 Pb 3.44, 2 Li 3.44
8 Pb 0.5000 0.5000 0.5000  12 Pb 3.44



4.
Li3Pb: optimized geometry, GGA-PBEsol.

Calculated values
- Energy relative to the elements: -0.215 eV/atom
- Calculated total energy: -2.690 eV per atom
- E above lowest polymorph: 0.131 eV per atom

Cell: 9.0677 9.0677 3.3451 Å, 90.00 90.00 120.00°
With the nearest neighbours (Å) after each atom.
Sites, in units of the cell vectors:
1 Li 0.0000 0.5000 0.0000  4 Li 2.85, 2 Pb 2.85
2 Li 0.1667 0.3333 0.3333  4 Li 2.85, 2 Pb 2.85
3 Li 0.1667 0.8333 0.3333  2 Pb 2.85, 4 Li 2.85
4 Li 0.3333 0.1667 0.6667  4 Li 2.85, 2 Pb 2.85
5 Li 0.5000 0.0000 0.0000  2 Pb 2.85, 4 Li 2.85
6 Li 0.5000 0.5000 0.0000  4 Li 2.85, 2 Pb 2.85
7 Li 0.6667 0.8333 0.3333  4 Li 2.85, 2 Pb 2.85
8 Li 0.8333 0.1667 0.6667  2 Pb 2.85, 4 Li 2.85
9 Li 0.8333 0.6667 0.6667  4 Li 2.85, 2 Pb 2.85
10 Pb 0.0000 0.0000 0.0000  6 Li 2.85
11 Pb 0.3333 0.6667 0.6667  6 Li 2.85
12 Pb 0.6667 0.3333 0.3333  6 Li 2.85



5.
LiPd3Pb: optimized geometry, GGA-PBEsol.

Calculated values
- Energy relative to the elements: 0.087 eV/atom
- Calculated total energy: -4.682 eV per atom
- E above lowest polymorph: 0.000 eV per atom

Cell: 4.3131 4.3131 4.3131 Å, 90.00 90.00 90.00°
With the nearest neighbours (Å) after each atom.
Sites, in units of the cell vectors:
1 Li 0.0000 0.0000 0.0000  6 Pd 2.16
2 Pd 0.0000 0.0000 0.5000  2 Li 2.16
3 Pd 0.0000 0.5000 0.0000  2 Li 2.16
4 Pd 0.5000 0.0000 0.0000  2 Li 2.16
5 Pb 0.5000 0.5000 0.5000  12 Pd 3.05



6.
LiPd3Pb: optimized geometry, GGA-PBEsol.

Calculated values
- Energy relative to the elements: 0.615 eV/atom
- Calculated total energy: -4.153 eV per atom
- E above lowest polymorph: 0.528 eV per atom

Cell: 5.0285 5.0285 5.0285 Å, 90.00 90.00 90.00°
With the nearest neighbours (Å) after each atom.
Sites, in units of the cell vectors:
1 Li 0.0000 0.0000 0.0000  12 Pd 3.56
2 Pd 0.0000 0.5000 0.5000  2 Pb 2.51
3 Pd 0.5000 0.0000 0.5000  2 Pb 2.51
4 Pd 0.5000 0.5000 0.0000  2 Pb 2.51
5 Pb 0.5000 0.5000 0.5000  6 Pd 2.51



7.
LiPd2RuPb: optimized geometry, GGA-PBEsol.

Calculated values
- Energy relative to the elements: 0.466 eV/atom
- Calculated total energy: -5.146 eV per atom

Cell: 4.1960 4.1960 4.3637 Å, 90.00 90.00 90.00°
With the nearest neighbours (Å) after each atom.
Sites, in units of the cell vectors:
1 Li 0.0000 0.0000 0.0000  4 Pd 2.10, 2 Ru 2.18
2 Pd 0.0000 0.5000 0.0000  2 Li 2.10
3 Pd 0.5000 0.0000 0.0000  2 Li 2.10
4 Ru 0.0000 0.0000 0.5000  2 Li 2.18
5 Pb 0.5000 0.5000 0.5000  4 Ru 2.97, 8 Pd 3.03



8.
Li2TaPdPb: optimized geometry, GGA-PBEsol.

Calculated values
- Energy relative to the elements: 1.460 eV/atom
- Calculated total energy: -3.829 eV per atom

Cell: 4.8588 4.8588 5.3137 Å, 90.00 90.00 90.00°
With the nearest neighbours (Å) after each atom.
Sites, in units of the cell vectors:
1 Li 0.0000 0.5000 0.0000  2 Ta 2.43
2 Li 0.5000 0.0000 0.0000  2 Ta 2.43
3 Ta 0.0000 0.0000 0.0000  4 Li 2.43, 2 Pb 2.66
4 Pd 0.5000 0.5000 0.5000  4 Pb 3.44, 8 Li 3.60
5 Pb 0.0000 0.0000 0.5000  2 Ta 2.66



9.
LiTcPd2Pb: optimized geometry, GGA-PBEsol.

Calculated values
- Energy relative to the elements: 1.326 eV/atom
- Calculated total energy: -4.503 eV per atom

Cell: 4.9570 4.9570 4.6140 Å, 90.00 90.00 90.00°
With the nearest neighbours (Å) after each atom.
Sites, in units of the cell vectors:
1 Li 0.0000 0.0000 0.0000  2 Pb 2.31
2 Tc 0.5000 0.5000 0.0000  8 Pd 3.39, 4 Li 3.51
3 Pd 0.0000 0.5000 0.5000  2 Pb 2.48
4 Pd 0.5000 0.0000 0.5000  2 Pb 2.48
5 Pb 0.0000 0.0000 0.5000  2 Li 2.31, 4 Pd 2.48



10.
Li2PtPb: optimized geometry, GGA-PBEsol.

Calculated values
- Energy relative to the elements: -0.351 eV/atom
- Calculated total energy: -4.074 eV per atom

Cell: 3.2084 3.3436 5.9825 Å, 90.00 90.00 90.00°
With the nearest neighbours (Å) after each atom.
Sites, in units of the cell vectors:
1 Li 0.0000 0.0000 0.2044  1 Li 2.45, 4 Pt 2.62
2 Li 0.0000 0.0000 0.7956  1 Li 2.45, 4 Pt 2.62
3 Pt 0.5000 0.5000 0.0000  8 Li 2.62
4 Pb 0.5000 0.5000 0.5000  8 Li 2.91, 2 Pt 2.99, 2 Pb 3.21